Entry 1:
Below is a geometry-optimized Ca3Cd3Ga2 structure, with properties calculated at the PBE-GGA level.

## Properties
Energy relative to the elements in meV/atom: -355

CIF file:
```
data_Ca3Cd3Ga2
_space_group_name_H-M_alt 'P n m a'
_space_group_IT_number 62
_cell_length_a 8.160
_cell_length_b 16.749
_cell_length_c 6.059
_cell_angle_alpha 90.00
_cell_angle_beta 90.00
_cell_angle_gamma 90.00
loop_
_space_group_symop_operation_xyz
'x,y,z'
'-x,-y,-z'
'-x+1/2,-y,z+1/2'
'x+1/2,y,-z+1/2'
'x+1/2,-y+1/2,-z+1/2'
'-x+1/2,y+1/2,z+1/2'
'-x,y+1/2,-z'
'x,-y+1/2,z'
loop_
_atom_site_label
_atom_site_fract_x
_atom_site_fract_y
_atom_site_fract_z
Ca1 0.031 0.109 0.121
Ca2 0.169 0.250 0.641
Cd1 0.181 0.031 0.601
Cd2 0.181 0.750 0.647
Ga1 0.115 0.614 0.377
```

---

Entry 2:
Below is a geometry-optimized CaCdGa structure, with properties calculated at the PBE-GGA level.

## Properties
Energy relative to the elements in meV/atom: -274

CIF file:
```
data_CaCdGa
_space_group_name_H-M_alt 'I 4 m m'
_space_group_IT_number 107
_space_group_name_Hall 'I 4 -2'
_cell_length_a 3.614
_cell_length_b 3.614
_cell_length_c 11.240
_cell_angle_alpha 90.00
_cell_angle_beta 90.00
_cell_angle_gamma 90.00
loop_
_atom_site_label
_atom_site_fract_x
_atom_site_fract_y
_atom_site_fract_z
Ca1 0.000 0.000 0.000
Cd1 0.000 0.000 0.311
Ga1 0.000 0.000 0.676
```

---

Entry 3:
Below is a geometry-optimized Ca5Cd2Ga2 structure, with properties calculated at the PBE-GGA level.

## Properties
Energy relative to the elements in meV/atom: -321

CIF file:
```
data_Ca5Cd2Ga2
_space_group_name_H-M_alt 'C m c e'
_space_group_IT_number 64
_space_group_name_Hall '-C 2ac 2'
_cell_length_a 16.556
_cell_length_b 8.010
_cell_length_c 8.095
_cell_angle_alpha 90.00
_cell_angle_beta 90.00
_cell_angle_gamma 90.00
loop_
_atom_site_label
_atom_site_fract_x
_atom_site_fract_y
_atom_site_fract_z
Ca1 0.000 0.000 0.000
Ca2 0.130 0.181 0.321
Cd1 0.213 0.000 0.000
Ga1 0.000 0.110 0.613
```

---

Entry 4:
Below is a geometry-optimized CaCd4Ga structure, with properties calculated at the PBE-GGA level.

## Properties
Energy relative to the elements in meV/atom: -104
Excess energy over the best structure of this formula in the dataset in eV/atom: 0.1002

CIF file:
```
data_CaCd4Ga
_space_group_name_H-M_alt 'F -4 3 m'
_space_group_IT_number 216
_space_group_name_Hall 'F -4 2 3'
_cell_length_a 8.403
_cell_length_b 8.403
_cell_length_c 8.403
_cell_angle_alpha 90.00
_cell_angle_beta 90.00
_cell_angle_gamma 90.00
loop_
_atom_site_label
_atom_site_fract_x
_atom_site_fract_y
_atom_site_fract_z
Ca1 0.000 0.000 0.000
Cd1 0.125 0.125 0.375
Ga1 0.250 0.250 0.750
```